MgV4O10 | the Alexandria database | PBE with a Hubbard U | relaxed; V = 14.25 A^3/atom; magnetization = 2.00 Bohr magnetons per cell; final energy = -7.388 eV/atom
1.0
3.666 0.000 0.000
-1.833 5.137 0.000
0.000 0.000 11.351
O Mg V
10 1 4
Direct
0.245 0.490 0.430
0.762 0.524 0.577
0.948 0.896 0.383
0.039 0.078 0.871
0.762 0.524 0.923
0.039 0.078 0.629
0.729 0.459 0.250
0.948 0.896 0.117
0.245 0.490 0.070
0.300 0.600 0.750
0.892 0.784 0.750
0.793 0.586 0.399
0.198 0.396 0.900
0.793 0.586 0.101
0.198 0.396 0.600